# 1
Here is a relaxed Mg2PaTl crystal from the Alexandria database. Energies are from GGA-PBE.

POSCAR file:
```
Mg2PaTl
1.0
3.166 0.000 0.000
0.000 3.166 0.000
0.000 0.000 9.710
Mg Pa Tl
2 1 1
Direct
0.000 0.000 0.242
0.000 0.000 0.758
0.500 0.500 0.500
0.500 0.500 0.000
```

Summary:
V: 97.3 Å³/cell
Energy relative to the lowest polymorph listed for this composition: 0.0 kJ per mole of atoms
Density of states at the Fermi level: 1.35 states/eV/atom
Final energy: -3.62 eV/atom
Symmetry: No. 123
Formation enthalpy at 0 K: 148 meV/atom

=====

# 2
Here is a relaxed CaHoTm2 crystal from the Alexandria database. Energies are from GGA-PBE.

POSCAR file:
```
CaHoTm2
1.0
1.755 1.013 12.374
-1.755 1.013 12.374
0.000 -2.027 12.374
Ca Ho Tm
1 1 2
Direct
0.000 0.000 0.000
0.500 0.500 0.500
0.091 0.091 0.091
0.909 0.909 0.909
```

Summary:
V: 132.1 Å³/cell
Energy relative to the lowest polymorph listed for this composition: 9.4 kJ per mole of atoms
Density of states at the Fermi level: 1.28 states/eV/atom
Final energy: -3.71 eV/atom
Symmetry: No. 166
Formation enthalpy at 0 K: 172 meV/atom

=====

# 3
Here is a relaxed Sm2Ho8Zr crystal from the Alexandria database. Energies are from GGA-PBE.

POSCAR file:
```
Sm2Ho8Zr
1.0
8.946 -2.474 0.000
8.946 2.474 0.000
-2.053 0.000 7.580
Sm Ho Zr
2 8 1
Direct
0.226 0.226 0.135
0.774 0.774 0.865
0.044 0.044 0.237
0.131 0.131 0.673
0.322 0.322 0.591
0.412 0.412 0.057
0.588 0.588 0.943
0.678 0.678 0.409
0.869 0.869 0.327
0.956 0.956 0.763
0.500 0.500 0.500
```

Summary:
V: 335.5 Å³/cell
Energy relative to the lowest polymorph listed for this composition: 0.0 kJ per mole of atoms
Density of states at the Fermi level: 1.27 states/eV/atom
Final energy: -4.92 eV/atom
Symmetry: No. 12
Formation enthalpy at 0 K: 41 meV/atom

=====

Which value of density of states at the Fermi level does entry 1 give?
1.35 states/eV/atom

=====

Among the records above, which one has the lowest density of states at the Fermi level?
Sm2Ho8Zr

=====

The lowest final energy belongs to which entry?
Sm2Ho8Zr

=====

Repeat the first record exactly.
Here is a relaxed Mg2PaTl crystal from the Alexandria database. Energies are from GGA-PBE.

POSCAR file:
```
Mg2PaTl
1.0
3.166 0.000 0.000
0.000 3.166 0.000
0.000 0.000 9.710
Mg Pa Tl
2 1 1
Direct
0.000 0.000 0.242
0.000 0.000 0.758
0.500 0.500 0.500
0.500 0.500 0.000
```

Summary:
V: 97.3 Å³/cell
Energy relative to the lowest polymorph listed for this composition: 0.0 kJ per mole of atoms
Density of states at the Fermi level: 1.35 states/eV/atom
Final energy: -3.62 eV/atom
Symmetry: No. 123
Formation enthalpy at 0 K: 148 meV/atom